First-principles (PBE) data for a geometry-optimized Ti4NiSn structure, as listed in Alexandria.

The structure belongs to space group C2/c (No. 15); the cell edges are 13.551, 5.052 and 6.478 Å and the angles 90.00°, 103.89° and 90.00°. The asymmetric unit holds Ti at (0.080, 0.107, 0.436), Ti at (0.178, 0.363, 0.129), Ni at (0.250, 0.250, 0.500) and Sn at (0.000, 0.391, 0.750).

The raw total energy is -0.2543 Ha/atom. Its density of states at the Fermi level is 31.88 states/eV per cell. The formation energy is -15 kJ/mol of formula units. The magnetization comes out at 0.00 Bohr magnetons per cell.